# LaTb3HoSc (PBE, relaxed)
data_LaTb3HoSc
_cell_length_a 7.909
_cell_length_b 7.909
_cell_length_c 10.065
_cell_angle_alpha 90.00
_cell_angle_beta 90.00
_cell_angle_gamma 143.28
_symmetry_space_group_name_H-M 'P 1'
_symmetry_Int_Tables_number 1
loop_
_symmetry_equiv_pos_as_xyz
'x,y,z'
loop_
_atom_site_label
_atom_site_fract_x
_atom_site_fract_y
_atom_site_fract_z
La1 0.003 0.997 0.750
La2 0.997 0.003 0.250
Tb1 0.168 0.832 0.000
Tb2 0.168 0.832 0.500
Tb3 0.329 0.671 0.750
Tb4 0.671 0.329 0.250
Tb5 0.832 0.168 0.000
Tb6 0.832 0.168 0.500
Ho1 0.500 0.500 0.000
Ho2 0.500 0.500 0.500
Sc1 0.330 0.670 0.250
Sc2 0.670 0.330 0.750
# **Formation energy**: 47 meV/atom
# **Calculated total energy**: -58.89 eV for the cell shown
# **Crystal system**: orthorhombic
# **Density of states at the Fermi level**: 19.454 states/eV/cell
# **Mass density**: 7.3 Mg/m³